# 1
Here is YZnTe2 at its PBEsol-relaxed geometry from Alexandria via LeMat-Bulk. Energies are from SCAN.

## Properties
Formation energy from raw total energies: -641 meV per atom

a = 5.040 Å, b = 5.040 Å, c = 3.812 Å
α = 90.00°, β = 90.00°, γ = 90.00°
Space group P4/mmm (No. 123)
One atom of each set of equivalent atoms:
Y (0.000, 0.000, 0.000) x1
Zn (0.500, 0.500, 0.000) x1
Te (0.000, 0.500, 0.500) x2

***

# 2
Here is CaLaY2 at its PBEsol-relaxed geometry from Alexandria via LeMat-Bulk. Energies are from SCAN.

## Properties
ΔE_f: 118 meV per atom

a = 3.607 Å, b = 5.139 Å, c = 7.205 Å
α = 90.00°, β = 90.00°, γ = 90.00°
Space group Pmmm (No. 47)
One atom of each set of equivalent atoms:
Ca (0.000, 0.000, 0.000) x1
La (0.000, 0.000, 0.500) x1
Y (0.500, 0.500, 0.261) x2

***

no.,total magnetization (μB per cell)
1,0.00
2,0.10